# NiAg2F (GGA-PBEsol, optimized geometry)
data_NiAg2F
_chemical_formula_sum 'Ni4 Ag8 F4'
_space_group_name_H-M_alt 'F m -3 m'
_space_group_IT_number 225
_space_group_name_Hall '-F 4 2 3'
_cell_length_a 5.987
_cell_length_b 5.987
_cell_length_c 5.987
_cell_angle_alpha 90.00
_cell_angle_beta 90.00
_cell_angle_gamma 90.00
loop_
_atom_site_label
_atom_site_type_symbol
_atom_site_fract_x
_atom_site_fract_y
_atom_site_fract_z
_atom_site_occupancy
Ni1 Ni 0.000 0.000 0.000 1
Ag1 Ag 0.250 0.250 0.250 1
F1 F 0.000 0.000 0.500 1
# - DOS at the Fermi energy (states/eV/f.u.) = 6.2
# - theoretical density (g cm⁻³) = 9.08
# - E (eV/atom) = -3.69